(1)
# BePbSe2

An optimized crystal structure of BePbSe2 (PBE-GGA, Alexandria).

Properties
Space-group type = P4/mmm
Electronic total energy = -3.38 eV/atom

Lattice parameters (Å, degrees): 3.3821 3.3821 7.2899 90.00 90.00 90.00
Fractional positions:
Pb  0.5000  0.5000  0.7500
Se  0.0000  0.0000  0.0541
Se  0.0000  0.0000  0.4459
Be  0.5000  0.5000  0.2500

***

(2)
# K7AuCl5

An optimized crystal structure of K7AuCl5 (PBE-GGA, Alexandria).

Properties
Space-group type = C2/m
Electronic total energy = -3.07 eV/atom

Lattice parameters (Å, degrees): 4.4956 7.8585 27.2865 90.07 90.00 106.62
Fractional positions:
Au  0.7922  0.5843  0.2505
Au  0.2084  0.4168  0.7495
K  0.0915  0.1830  0.6065
K  0.1808  0.3615  0.3258
K  0.8191  0.6382  0.8254
K  0.8198  0.6395  0.6743
K  0.6360  0.2720  0.0349
K  0.0909  0.1818  0.8936
K  0.3648  0.7295  0.5348
K  0.1816  0.3632  0.1746
K  0.9090  0.8180  0.3936
K  0.6356  0.2712  0.4652
K  0.3646  0.7293  0.9651
K  0.4621  0.9242  0.2500
K  0.5385  0.0771  0.7500
K  0.9098  0.8196  0.1063
Cl  0.0003  0.0007  0.0000
Cl  0.5430  0.0861  0.1396
Cl  0.7270  0.4540  0.9289
Cl  0.0002  0.0004  0.5000
Cl  0.4582  0.9164  0.6395
Cl  0.2737  0.5473  0.0710
Cl  0.4576  0.9152  0.8603
Cl  0.5423  0.0846  0.3605
Cl  0.7272  0.4544  0.5709
Cl  0.2732  0.5464  0.4291

***

(3)
# Dy4SiSnSe2

An optimized crystal structure of Dy4SiSnSe2 (PBE-GGA, Alexandria).

Properties
Space-group type = I-4m2
Electronic total energy = -5.62 eV/atom

Lattice parameters (Å, degrees): 5.9105 5.9105 7.2538 114.05 114.05 90.00
Fractional positions:
Se  0.0000  0.0000  0.0000
Se  0.2500  0.7500  0.5000
Sn  0.5000  0.5000  0.0000
Dy  0.7547  0.7547  0.5094
Dy  0.5059  0.0059  0.0118
Dy  0.2453  0.2453  0.4906
Dy  0.9941  0.4941  0.9882
Si  0.7500  0.2500  0.5000

***

(4)
# Tb3Pm4Dy5

An optimized crystal structure of Tb3Pm4Dy5 (PBE-GGA, Alexandria).

Properties
Space-group type = C2/m
Energy of formation = 0.226 eV per atom

Lattice parameters (Å, degrees): 5.9321 8.5832 9.7030 105.76 72.20 69.78
Site moments in Bohr magnetons follow the coordinates.
Fractional positions:
Dy  0.7853  0.5427  0.8868  0.01
Dy  0.2147  0.4573  0.1132  0.01
Dy  0.5000  0.5000  0.5000  0.15
Dy  0.3720  0.0558  0.2001  0.01
Dy  0.6280  0.9442  0.7999  0.01
Pm  0.1392  0.7777  0.9439  0.00
Pm  0.1664  0.0480  0.6192  0.00
Pm  0.8608  0.2223  0.0561  0.00
Pm  0.8336  0.9520  0.3808  0.00
Tb  0.4770  0.3130  0.7331  0.01
Tb  0.5230  0.6870  0.2669  0.01
Tb  0.0000  0.5000  0.5000  0.16